## BaLaSb2 (PBE)

Data for crystalline BaLaSb2 at its relaxed geometry.

Unit cell a=5.6426 b=5.6426 c=4.2843 alpha=89.96 beta=89.96 gamma=81.05
Last column: nearest neighbours and their distance in Å.
Fractional positions:
Ba  0.5000  0.0000  0.5000  8 Sb 3.54, 2 La 3.67
La  0.0000  0.5000  0.5000  8 Sb 3.54, 2 Ba 3.67
Sb  0.0000  0.0000  0.0000  4 La 3.54, 4 Ba 3.54, 2 Sb 3.67
Sb  0.5000  0.5000  0.0000  4 Ba 3.54, 4 La 3.54, 2 Sb 3.67

Computed properties:
For the energy above the most stable polymorph in this dataset, the calculation gives 111 meV/atom. For the calculated volume, the calculation gives 135 Å³ per cell. The calculation puts the total energy at -4.67 eV per atom. The uncorrected formation energy is -893.9 meV per atom. As for the density of states at the Fermi level: 1.793 states/eV/cell.